Entry 1:
An optimized crystal structure of BeCrTc. Source: Alexandria, functional PBE.

The energy of formation comes out at -0.077 eV per atom. The calculation puts the relative energy among the computed polymorphs at 39.7 meV per atom. The value obtained for the calculated total energy is -95.8 eV/cell.

The space group is C2/m (No. 12) and the conventional cell measures 8.411, 2.975 and 5.933 Å, with angles of 90.00, 110.32 and 90.00 degrees. The asymmetric unit holds Be at (0.000, 0.000, 0.000), Be at (0.000, 0.000, 0.500), Cr at (0.175, 0.500, 0.349) and Tc at (0.156, 0.500, 0.824).

=====

Entry 2:
An optimized crystal structure of SnB3Pb. Source: Alexandria, functional PBE.

The energy of formation comes out at 1.955 eV per atom. The calculation puts the relative energy among the computed polymorphs at 0.0 meV per atom. The value obtained for the calculated total energy is -18.0 eV/cell.

The space group is Pm-3m (No. 221) and the conventional cell measures 4.583, 4.583 and 4.583 Å, with angles of 90.00, 90.00 and 90.00 degrees. The asymmetric unit holds Sn at (0.000, 0.000, 0.000), B at (0.000, 0.000, 0.500) and Pb at (0.500, 0.500, 0.500).

=====

Entry 3:
An optimized crystal structure of AlAgOs. Source: Alexandria, functional PBE.

The energy of formation comes out at 0.233 eV per atom. The calculation puts the relative energy among the computed polymorphs at 86.4 meV per atom. The value obtained for the calculated total energy is -68.5 eV/cell.

The space group is Fmm2 (No. 42) and the conventional cell measures 3.042, 4.656 and 13.251 Å, with angles of 90.00, 90.00 and 90.00 degrees. The asymmetric unit holds Al at (0.000, 0.000, 0.000), Ag at (0.000, 0.000, 0.669) and Os at (0.000, 0.000, 0.354).

=====

Entry 4:
An optimized crystal structure of La8Ni. Source: Alexandria, functional PBE.

The energy of formation comes out at 0.100 eV per atom. The value obtained for the calculated total energy is -88.6 eV/cell.

The space group is I4/mmm (No. 139) and the conventional cell measures 10.528, 10.528 and 5.302 Å, with angles of 90.00, 90.00 and 90.00 degrees. The asymmetric unit holds La at (0.000, 0.304, 0.000), La at (0.167, 0.167, 0.500) and Ni at (0.000, 0.000, 0.000).

=====

Entry 5:
An optimized crystal structure of Hf4PdRu3. Source: Alexandria, functional PBE.

The energy of formation comes out at -0.742 eV per atom. The value obtained for the calculated total energy is -78.8 eV/cell.

The space group is Pmmm (No. 47) and the conventional cell measures 3.225, 4.647 and 9.268 Å, with angles of 90.00, 90.00 and 90.00 degrees. The asymmetric unit holds Hf at (0.000, 0.000, 0.000), Hf at (0.000, 0.000, 0.500), Hf at (0.000, 0.500, 0.244), Pd at (0.500, 0.500, 0.500), Ru at (0.500, 0.000, 0.249) and Ru at (0.500, 0.500, 0.000).

=====

Entry 6:
An optimized crystal structure of Dy5ThNi2. Source: Alexandria, functional PBE.

The energy of formation comes out at -0.145 eV per atom. The value obtained for the calculated total energy is -172.6 eV/cell.

The space group is Cmcm (No. 63) and the conventional cell measures 3.687, 13.374 and 17.799 Å, with angles of 90.00, 90.00 and 90.00 degrees. The asymmetric unit holds Dy at (0.000, 0.011, 0.250), Dy at (0.000, 0.174, 0.063), Dy at (0.000, 0.442, 0.090), Th at (0.000, 0.284, 0.250) and Ni at (0.000, 0.199, 0.634).

=====

Entry 7:
An optimized crystal structure of LiSi4Se. Source: Alexandria, functional PBE.

The calculation puts the energy relative to the elements, uncorrected at 304 meV per atom. The value obtained for the calculated total energy is -101.1 eV/cell.

The space group is F-43m (No. 216) and the conventional cell measures 7.339, 7.339 and 7.339 Å, with angles of 90.00, 90.00 and 90.00 degrees. The asymmetric unit holds Li at (0.000, 0.000, 0.000), Si at (0.126, 0.126, 0.374) and Se at (0.250, 0.250, 0.750).

=====

Entry 8:
An optimized crystal structure of BaTb4Hg5. Source: Alexandria, functional PBE.

The energy of formation comes out at -0.476 eV per atom. The value obtained for the calculated total energy is -26.7 eV/cell.

The space group is P4/mmm (No. 123) and the conventional cell measures 3.801, 3.801 and 19.292 Å, with angles of 90.00, 90.00 and 90.00 degrees. The asymmetric unit holds Ba at (0.000, 0.000, 0.000), Tb at (0.000, 0.000, 0.215), Tb at (0.000, 0.000, 0.406), Hg at (0.500, 0.500, 0.127), Hg at (0.500, 0.500, 0.310) and Hg at (0.500, 0.500, 0.500).

=====

Q: Number 2 is which compound?
A: SnB3Pb

=====

Repeat the first record exactly.
An optimized crystal structure of BeCrTc. Source: Alexandria, functional PBE.

The energy of formation comes out at -0.077 eV per atom. The calculation puts the relative energy among the computed polymorphs at 39.7 meV per atom. The value obtained for the calculated total energy is -95.8 eV/cell.

The space group is C2/m (No. 12) and the conventional cell measures 8.411, 2.975 and 5.933 Å, with angles of 90.00, 110.32 and 90.00 degrees. The asymmetric unit holds Be at (0.000, 0.000, 0.000), Be at (0.000, 0.000, 0.500), Cr at (0.175, 0.500, 0.349) and Tc at (0.156, 0.500, 0.824).

=====

Q: Look up the calculated total energy of the fifth one.
A: -78.8 eV/cell

=====

Q: The highest calculated total energy belongs to which entry?
A: SnB3Pb